1.
An optimized crystal structure of K2Pd2Pb, computed with GGA-PBEsol.

a b c (Å): 5.4180 6.9376 6.9376
angles (deg): 90.00 90.00 90.00
Closest atoms and distances in Å follow each position.
Positions (direct):
Pb1 0.0000 0.0000 0.0000  4 Pd 2.70
Pb2 0.0000 0.5000 0.5000  4 Pd 2.70
K1 0.5000 0.1737 0.6737  6 Pd 3.30-3.46, 5 K 3.41-3.63
K2 0.5000 0.6737 0.8263  6 Pd 3.30-3.46, 5 K 3.41-3.63
K3 0.5000 0.8263 0.3263  6 Pd 3.30-3.46, 5 K 3.41-3.63
K4 0.5000 0.3263 0.1737  6 Pd 3.30-3.46, 5 K 3.41-3.63
Pd1 0.0000 0.3656 0.8656  1 Pd 2.64, 2 Pb 2.70
Pd2 0.0000 0.8656 0.6344  1 Pd 2.64, 2 Pb 2.70
Pd3 0.0000 0.6344 0.1344  1 Pd 2.64, 2 Pb 2.70
Pd4 0.0000 0.1344 0.3656  1 Pd 2.64, 2 Pb 2.70

## Properties
DOS at the Fermi energy = 0.527 states/eV/atom
ΔH_f (0 K) = -0.031 eV per atom


2.
An optimized crystal structure of KPd2Pb2, computed with GGA-PBEsol.

a b c (Å): 3.2509 8.3018 8.3018
angles (deg): 90.00 90.00 90.00
Closest atoms and distances in Å follow each position.
Positions (direct):
Pb1 0.5000 0.1531 0.6531  6 Pd 2.88-2.99
Pb2 0.5000 0.6531 0.8469  6 Pd 2.88-2.99
Pb3 0.5000 0.8469 0.3469  6 Pd 2.88-2.99
Pb4 0.5000 0.3469 0.1531  6 Pd 2.88-2.99
K1 0.0000 0.0000 0.0000  4 Pd 3.24, 2 K 3.25, 8 Pb 3.54
K2 0.0000 0.5000 0.5000  4 Pd 3.24, 2 K 3.25, 8 Pb 3.54
Pd1 0.0000 0.3670 0.8670  6 Pb 2.88-2.99, 1 Pd 3.12
Pd2 0.0000 0.8670 0.6330  6 Pb 2.88-2.99, 1 Pd 3.12
Pd3 0.0000 0.6330 0.1330  6 Pb 2.88-2.99, 1 Pd 3.12
Pd4 0.0000 0.1330 0.3670  6 Pb 2.88-2.99, 1 Pd 3.12

## Properties
DOS at the Fermi energy = 0.498 states/eV/atom
ΔH_f (0 K) = -0.160 eV per atom
Energy above the lowest structure with this stoichiometry = 0 meV per atom


3.
An optimized crystal structure of K3PdPb, computed with GGA-PBEsol.

a b c (Å): 6.5076 6.5076 6.5076
angles (deg): 90.00 90.00 90.00
Closest atoms and distances in Å follow each position.
Positions (direct):
Pb1 0.0000 0.0000 0.0000  6 K 3.25
K1 0.0000 0.5000 0.0000  2 Pb 3.25
K2 0.0000 0.0000 0.5000  2 Pb 3.25
K3 0.5000 0.0000 0.0000  2 Pb 3.25
Pd1 0.5000 0.5000 0.5000  12 K 4.60

## Properties
DOS at the Fermi energy = 2.323 states/eV/atom
ΔH_f (0 K) = 0.715 eV per atom


4.
An optimized crystal structure of KPd2Pb2, computed with GGA-PBEsol.

a b c (Å): 4.8392 4.8392 6.3594
angles (deg): 112.36 112.36 90.00
Closest atoms and distances in Å follow each position.
Positions (direct):
Pb1 0.2500 0.7500 0.5000  4 Pd 2.78
Pb2 0.7500 0.2500 0.5000  4 Pd 2.78
K1 0.0000 0.0000 0.0000  8 Pb 3.61, 8 Pd 3.66
Pd1 0.3776 0.3776 0.7552  1 Pd 2.62, 4 Pb 2.78
Pd2 0.6224 0.6224 0.2448  1 Pd 2.62, 4 Pb 2.78

## Properties
DOS at the Fermi energy = 0.505 states/eV/atom
ΔH_f (0 K) = -0.128 eV per atom
Energy above the lowest structure with this stoichiometry = 32 meV per atom


5.
An optimized crystal structure of KPt2Pb2, computed with GGA-PBEsol.

a b c (Å): 4.8944 4.8944 6.5299
angles (deg): 112.01 112.01 90.00
Closest atoms and distances in Å follow each position.
Positions (direct):
Pb1 0.3552 0.3552 0.7104  4 Pt 2.71
Pb2 0.6448 0.6448 0.2896  4 Pt 2.71
K1 0.0000 0.0000 0.0000  8 Pt 3.70, 10 Pb 3.81-3.93
Pt1 0.2500 0.7500 0.5000  4 Pb 2.71
Pt2 0.7500 0.2500 0.5000  4 Pb 2.71

## Properties
DOS at the Fermi energy = 0.359 states/eV/atom
ΔH_f (0 K) = -0.115 eV per atom


6.
An optimized crystal structure of KPtPb2, computed with GGA-PBEsol.

a b c (Å): 4.4836 4.5067 7.2356
angles (deg): 107.94 90.00 119.83
Closest atoms and distances in Å follow each position.
Positions (direct):
Pb1 0.7183 0.4365 0.6553  3 Pt 2.80-2.81
Pb2 0.2817 0.5635 0.3447  3 Pt 2.80-2.81
K1 0.5000 0.0000 0.0000  6 Pb 3.49
Pt1 0.0000 0.0000 0.5000  6 Pb 2.80-2.81

## Properties
DOS at the Fermi energy = 0.371 states/eV/atom
ΔH_f (0 K) = -0.202 eV per atom


7.
An optimized crystal structure of KPtPb2, computed with GGA-PBEsol.

a b c (Å): 3.4242 5.7352 6.4008
angles (deg): 116.62 105.51 90.00
Closest atoms and distances in Å follow each position.
Positions (direct):
Pb1 0.7996 0.7996 0.5992  2 Pt 2.78
Pb2 0.2004 0.2004 0.4008  2 Pt 2.78
K1 0.0000 0.5000 0.0000  4 Pt 3.34, 2 K 3.42, 8 Pb 3.61-3.69
Pt1 0.5000 0.0000 0.0000  4 Pb 2.78

## Properties
DOS at the Fermi energy = 0.343 states/eV/atom
ΔH_f (0 K) = -0.125 eV per atom


8.
An optimized crystal structure of KPtPb2, computed with GGA-PBEsol.

a b c (Å): 3.4811 3.4811 8.5740
angles (deg): 90.00 90.00 90.00
Closest atoms and distances in Å follow each position.
Positions (direct):
Pb1 0.0000 0.0000 0.3131  4 Pt 2.94, 1 Pb 3.21
Pb2 0.0000 0.0000 0.6869  4 Pt 2.94, 1 Pb 3.21
K1 0.5000 0.5000 0.0000  4 K 3.48, 8 Pb 3.64
Pt1 0.5000 0.5000 0.5000  8 Pb 2.94

## Properties
DOS at the Fermi energy = 0.336 states/eV/atom
ΔH_f (0 K) = -0.177 eV per atom


9.
An optimized crystal structure of KPt4Pb, computed with GGA-PBEsol.

a b c (Å): 5.4072 5.4072 5.4072
angles (deg): 60.00 60.00 60.00
Closest atoms and distances in Å follow each position.
Positions (direct):
Pb1 0.0000 0.0000 0.0000  12 Pt 3.17, 4 K 3.31
K1 0.7500 0.7500 0.7500  12 Pt 3.17, 4 Pb 3.31
Pt1 0.8758 0.3747 0.3747  6 Pt 2.70-2.71
Pt2 0.3747 0.3747 0.3747  6 Pt 2.70-2.71
Pt3 0.3747 0.3747 0.8758  6 Pt 2.70-2.71
Pt4 0.3747 0.8758 0.3747  6 Pt 2.70-2.71

## Properties
DOS at the Fermi energy = 0.355 states/eV/atom
ΔH_f (0 K) = -0.163 eV per atom


10.
An optimized crystal structure of KPtPb2, computed with GGA-PBEsol.

a b c (Å): 4.5451 4.5507 7.1130
angles (deg): 71.41 71.37 60.04
Closest atoms and distances in Å follow each position.
Positions (direct):
Pb1 0.0320 0.0313 0.9047  3 Pt 2.84-2.85
Pb2 0.8008 0.8007 0.5977  3 Pt 2.79
K1 0.2468 0.2479 0.2584  1 Pt 3.43, 6 Pb 3.45-3.52
Pt1 0.4204 0.4201 0.7392  6 Pb 2.79-2.85

## Properties
DOS at the Fermi energy = 0.401 states/eV/atom
ΔH_f (0 K) = -0.215 eV per atom


11.
An optimized crystal structure of KPt2Pb, computed with GGA-PBEsol.

a b c (Å): 2.8999 5.2918 6.3328
angles (deg): 114.70 103.24 90.00
Closest atoms and distances in Å follow each position.
Positions (direct):
K1 0.4950 0.4950 0.9901  2 K 2.90, 4 Pt 3.02
Pb1 0.2878 0.7878 0.5755  6 Pt 2.84-3.14, 2 Pb 2.90
Pt1 0.0073 0.0073 0.0146  4 Pt 2.68-2.90, 2 Pb 2.84
Pt2 0.7099 0.2099 0.4198  4 Pt 2.68-2.90

## Properties
DOS at the Fermi energy = 0.463 states/eV/atom
ΔH_f (0 K) = 0.077 eV per atom


12.
An optimized crystal structure of KRhPb, computed with GGA-PBEsol.

a b c (Å): 4.8412 4.8412 4.8412
angles (deg): 60.00 60.00 60.00
Closest atoms and distances in Å follow each position.
Positions (direct):
K1 0.2500 0.2500 0.2500  4 Pb 2.96, 4 Rh 2.96
Pb1 0.0000 0.0000 0.0000  4 K 2.96
Rh1 0.5000 0.5000 0.5000  4 K 2.96

## Properties
DOS at the Fermi energy = 0.827 states/eV/atom
ΔH_f (0 K) = 1.242 eV per atom


Number 1: total DFT energy (no corrections) -3.668 eV/atom. Number 2: total DFT energy (no corrections) -4.369 eV/atom. Number 3: total DFT energy (no corrections) -1.957 eV/atom. Number 4: total DFT energy (no corrections) -4.338 eV/atom. Number 5: total DFT energy (no corrections) -4.727 eV/atom. Number 6: total DFT energy (no corrections) -4.225 eV/atom. Number 7: total DFT energy (no corrections) -4.149 eV/atom. Number 8: total DFT energy (no corrections) -4.201 eV/atom. Number 9: total DFT energy (no corrections) -5.660 eV/atom. Number 10: total DFT energy (no corrections) -4.239 eV/atom. Number 11: total DFT energy (no corrections) -4.687 eV/atom. Number 12: total DFT energy (no corrections) -3.182 eV/atom.